1 | VASP calculation (PBE) on a relaxed structure of ZrScMo.

Results
Calculated volume: 59.4 Å³/f.u.
SG: P3m1

Lattice parameters (Å, degrees): 4.7743 4.7743 3.0115 90.00 90.00 120.00
Sites, in units of the cell vectors:
Zr  0.0000  0.0000  0.0000
Sc  0.3333  0.6667  0.5596
Mo  0.6667  0.3333  0.2331

---

2 | VASP calculation (PBE) on a relaxed structure of ZrScMo.

Results
Calculated volume: 61.4 Å³/f.u.
SG: Fmm2

Lattice parameters (Å, degrees): 7.5039 7.2645 3.0639 82.45 73.68 23.88
Sites, in units of the cell vectors:
Zr  0.0000  0.0000  0.0000
Sc  0.3017  0.3017  0.6983
Mo  0.6478  0.6478  0.3522

---

Relative energy of each structure, in meV/atom: 1 0; 2 28.

---

1 | VASP calculation (PBE) on a relaxed structure of Mo5Se4.

Results
Calculated volume: 167.2 Å³/f.u.
SG: I4/mmm

Lattice parameters (Å, degrees): 6.8211 6.8211 6.8211 94.73 94.73 146.62
Sites, in units of the cell vectors:
Mo  0.0000  0.0000  0.0000
Mo  0.3544  0.3544  0.7088
Mo  0.3544  0.6456  0.0000
Mo  0.6456  0.3544  0.0000
Mo  0.6456  0.6456  0.2912
Se  0.0000  0.2838  0.2838
Se  0.0000  0.7162  0.7162
Se  0.2838  0.0000  0.2838
Se  0.7162  0.0000  0.7162

---

2 | VASP calculation (PBE) on a relaxed structure of Mo5Se4.

Results
Calculated volume: 147.6 Å³/f.u.
SG: P6_3/mcm

Lattice parameters (Å, degrees): 7.9244 7.9244 5.4280 90.00 90.00 120.00
Sites, in units of the cell vectors:
Mo  0.0000  0.3181  0.2500
Mo  0.0000  0.6819  0.7500
Mo  0.3181  0.0000  0.2500
Mo  0.3181  0.3181  0.7500
Mo  0.3333  0.6667  0.0000
Mo  0.3333  0.6667  0.5000
Mo  0.6667  0.3333  0.0000
Mo  0.6667  0.3333  0.5000
Mo  0.6819  0.0000  0.7500
Mo  0.6819  0.6819  0.2500
Se  0.0000  0.0000  0.0000
Se  0.0000  0.0000  0.5000
Se  0.0000  0.3695  0.7500
Se  0.0000  0.6305  0.2500
Se  0.3695  0.0000  0.7500
Se  0.3695  0.3695  0.2500
Se  0.6305  0.0000  0.2500
Se  0.6305  0.6305  0.7500

---

Relative energy of each structure, in meV/atom: 1 0; 2 464.

---

1 | VASP calculation (PBE) on a relaxed structure of Mo5Se.

Results
Calculated volume: 94.5 Å³/f.u.
SG: Cmmm

Lattice parameters (Å, degrees): 5.2844 5.2844 4.4385 90.00 90.00 130.29
Sites, in units of the cell vectors:
Mo  0.0000  0.0000  0.0000
Mo  0.1636  0.8364  0.5000
Mo  0.3300  0.6700  0.0000
Mo  0.6700  0.3300  0.0000
Mo  0.8364  0.1636  0.5000
Se  0.5000  0.5000  0.5000

---

2 | VASP calculation (PBE) on a relaxed structure of Mo5Se.

Results
Calculated volume: 94.6 Å³/f.u.
SG: C2/m

Lattice parameters (Å, degrees): 5.2384 5.2384 6.2998 107.56 107.56 35.25
Sites, in units of the cell vectors:
Mo  0.0000  0.0000  0.0000
Mo  0.3320  0.3320  0.1642
Mo  0.3341  0.3341  0.6671
Mo  0.6659  0.6659  0.3329
Mo  0.6680  0.6680  0.8358
Se  0.0000  0.0000  0.5000

---

Relative energy of each structure, in meV/atom: 1 48; 2 0.

---

1 | VASP calculation (PBE) on a relaxed structure of Mo5Se.

Results
Calculated volume: 95.4 Å³/f.u.
SG: P-62m

Lattice parameters (Å, degrees): 4.8369 4.8369 4.7106 90.00 90.00 120.00
Sites, in units of the cell vectors:
Mo  0.0000  0.6651  0.0000
Mo  0.3333  0.6667  0.5000
Mo  0.3349  0.3349  0.0000
Mo  0.6651  0.0000  0.0000
Mo  0.6667  0.3333  0.5000
Se  0.0000  0.0000  0.5000

---

2 | VASP calculation (PBE) on a relaxed structure of Mo5Se.

Results
Calculated volume: 101.7 Å³/f.u.
SG: F-43m

Lattice parameters (Å, degrees): 5.2390 5.2390 5.2390 60.00 60.00 60.00
Sites, in units of the cell vectors:
Mo  0.0000  0.0000  0.0000
Mo  0.3753  0.3753  0.3753
Mo  0.3753  0.3753  0.8740
Mo  0.3753  0.8740  0.3753
Mo  0.8740  0.3753  0.3753
Se  0.7500  0.7500  0.7500

---

Relative energy of each structure, in meV/atom: 1 0; 2 234.

---

1 | VASP calculation (PBE) on a relaxed structure of Mo3Se4.

Results
Calculated volume: 153.2 Å³/f.u.
SG: R-3

Lattice parameters (Å, degrees): 6.7444 6.7444 6.7444 91.46 91.46 91.46
Sites, in units of the cell vectors:
Mo  0.2268  0.5472  0.4136
Mo  0.4136  0.2268  0.5472
Mo  0.4528  0.5864  0.7732
Mo  0.5472  0.4136  0.2268
Mo  0.5864  0.7732  0.4528
Mo  0.7732  0.4528  0.5864
Se  0.1268  0.3837  0.7440
Se  0.2176  0.2176  0.2176
Se  0.2560  0.8732  0.6163
Se  0.3837  0.7440  0.1268
Se  0.6163  0.2560  0.8732
Se  0.7440  0.1268  0.3837
Se  0.7824  0.7824  0.7824
Se  0.8732  0.6163  0.2560

---

2 | VASP calculation (PBE) on a relaxed structure of Mo3Se4.

Results
Calculated volume: 127.7 Å³/f.u.
SG: P6/mmm

Lattice parameters (Å, degrees): 5.5058 5.5058 4.8645 90.00 90.00 120.00
Sites, in units of the cell vectors:
Mo  0.0000  0.5000  0.0000
Mo  0.5000  0.0000  0.0000
Mo  0.5000  0.5000  0.0000
Se  0.0000  0.0000  0.2492
Se  0.0000  0.0000  0.7508
Se  0.3333  0.6667  0.5000
Se  0.6667  0.3333  0.5000

---

3 | VASP calculation (PBE) on a relaxed structure of Mo3Se4.

Results
Calculated volume: 137.8 Å³/f.u.
SG: I4/mmm

Lattice parameters (Å, degrees): 14.5274 14.5274 14.5274 167.76 167.76 17.34
Sites, in units of the cell vectors:
Mo  0.0000  0.0000  0.0000
Mo  0.2838  0.2838  0.0000
Mo  0.7162  0.7162  0.0000
Se  0.1683  0.1683  0.0000
Se  0.4460  0.4460  0.0000
Se  0.5540  0.5540  0.0000
Se  0.8317  0.8317  0.0000

---

4 | VASP calculation (PBE) on a relaxed structure of Mo3Se4.

Results
Calculated volume: 156.7 Å³/f.u.
SG: P-1

Lattice parameters (Å, degrees): 3.2956 9.0614 11.2774 109.63 98.25 90.20
Sites, in units of the cell vectors:
Mo  0.0084  0.1751  0.0137
Mo  0.2126  0.3831  0.4260
Mo  0.4268  0.9703  0.8513
Mo  0.5732  0.0297  0.1487
Mo  0.7874  0.6169  0.5740
Mo  0.9916  0.8249  0.9863
Se  0.1650  0.0706  0.3349
Se  0.2131  0.6607  0.4219
Se  0.3913  0.6690  0.7842
Se  0.4464  0.2707  0.8854
Se  0.5536  0.7293  0.1146
Se  0.6087  0.3310  0.2158
Se  0.7869  0.3393  0.5781
Se  0.8350  0.9294  0.6651

---

Relative energy of each structure, in meV/atom: 1 0; 2 1116; 3 278; 4 142.

---

1 | VASP calculation (PBE) on a relaxed structure of Mo9Se11.

Results
Calculated volume: 450.2 Å³/f.u.
SG: Cmcm

Lattice parameters (Å, degrees): 9.0003 9.0003 11.1677 90.00 90.00 95.56
Sites, in units of the cell vectors:
Mo  0.0182  0.5998  0.6297
Mo  0.0182  0.5998  0.8703
Mo  0.1468  0.8532  0.7500
Mo  0.1931  0.4277  0.7500
Mo  0.3224  0.6776  0.6283
Mo  0.3224  0.6776  0.8717
Mo  0.4002  0.9818  0.6297
Mo  0.4002  0.9818  0.8703
Mo  0.4277  0.1931  0.2500
Mo  0.5723  0.8069  0.7500
Mo  0.5998  0.0182  0.1297
Mo  0.5998  0.0182  0.3703
Mo  0.6776  0.3224  0.1283
Mo  0.6776  0.3224  0.3717
Mo  0.8069  0.5723  0.2500
Mo  0.8532  0.1468  0.2500
Mo  0.9818  0.4002  0.1297
Mo  0.9818  0.4002  0.3703
Se  0.0873  0.6273  0.2500
Se  0.1348  0.2195  0.2500
Se  0.1537  0.8463  0.5174
Se  0.1537  0.8463  0.9826
Se  0.2085  0.4439  0.5180
Se  0.2085  0.4439  0.9820
Se  0.2195  0.1348  0.7500
Se  0.3727  0.9127  0.2500
Se  0.4439  0.2085  0.0180
Se  0.4439  0.2085  0.4820
Se  0.4889  0.5111  0.7500
Se  0.5111  0.4889  0.2500
Se  0.5561  0.7915  0.5180
Se  0.5561  0.7915  0.9820
Se  0.6273  0.0873  0.7500
Se  0.7805  0.8652  0.2500
Se  0.7915  0.5561  0.0180
Se  0.7915  0.5561  0.4820
Se  0.8463  0.1537  0.0174
Se  0.8463  0.1537  0.4826
Se  0.8652  0.7805  0.7500
Se  0.9127  0.3727  0.7500

---

2 | VASP calculation (PBE) on a relaxed structure of Mo9Se11.

Results
Calculated volume: 485.0 Å³/f.u.
SG: P6_3/m

Lattice parameters (Å, degrees): 9.5648 9.5648 12.2421 90.00 90.00 120.00
Sites, in units of the cell vectors:
Mo  0.1612  0.6447  0.0607
Mo  0.1612  0.6447  0.4393
Mo  0.1782  0.4978  0.2500
Mo  0.3196  0.8218  0.2500
Mo  0.3553  0.5165  0.0607
Mo  0.3553  0.5165  0.4393
Mo  0.4835  0.8388  0.0607
Mo  0.4835  0.8388  0.4393
Mo  0.4978  0.3196  0.7500
Mo  0.5022  0.6804  0.2500
Mo  0.5165  0.1612  0.5607
Mo  0.5165  0.1612  0.9393
Mo  0.6447  0.4835  0.5607
Mo  0.6447  0.4835  0.9393
Mo  0.6804  0.1782  0.7500
Mo  0.8218  0.5022  0.7500
Mo  0.8388  0.3553  0.5607
Mo  0.8388  0.3553  0.9393
Se  0.0071  0.6372  0.2500
Se  0.0399  0.3346  0.0779
Se  0.0399  0.3346  0.4221
Se  0.2947  0.9601  0.0779
Se  0.2947  0.9601  0.4221
Se  0.3333  0.6667  0.6035
Se  0.3333  0.6667  0.8965
Se  0.3346  0.2947  0.5779
Se  0.3346  0.2947  0.9221
Se  0.3628  0.3699  0.2500
Se  0.3699  0.0071  0.7500
Se  0.6301  0.9929  0.2500
Se  0.6372  0.6301  0.7500
Se  0.6654  0.7053  0.0779
Se  0.6654  0.7053  0.4221
Se  0.6667  0.3333  0.1035
Se  0.6667  0.3333  0.3965
Se  0.7053  0.0399  0.5779
Se  0.7053  0.0399  0.9221
Se  0.9601  0.6654  0.5779
Se  0.9601  0.6654  0.9221
Se  0.9929  0.3628  0.7500

---

Relative energy of each structure, in meV/atom: 1 15; 2 0.